# SiPtSN2 (PBE, relaxed)
data_SiPtSN2
_chemical_formula_sum 'Si1 Pt1 S1 N2'
_cell_length_a 3.7024
_cell_length_b 3.7024
_cell_length_c 8.1607
_cell_angle_alpha 90.00
_cell_angle_beta 90.00
_cell_angle_gamma 90.00
_space_group_name_H-M_alt 'P 4/m m m'
_space_group_IT_number 123
_space_group_name_Hall '-P 4 2'
loop_
_atom_site_label
_atom_site_fract_x
_atom_site_fract_y
_atom_site_fract_z
Si1 0.0000 0.0000 0.0000
Pt1 0.5000 0.5000 0.5000
S1 0.5000 0.5000 0.0000
N1 0.0000 0.5000 0.5000
# crystal system: tetragonal


# SnPtSN2 (PBE, relaxed)
data_SnPtSN2
_chemical_formula_sum 'Sn1 Pt1 S1 N2'
_cell_length_a 3.9504
_cell_length_b 3.9504
_cell_length_c 5.1930
_cell_angle_alpha 90.00
_cell_angle_beta 90.00
_cell_angle_gamma 90.00
_space_group_name_H-M_alt 'P 4/m m m'
_space_group_IT_number 123
_space_group_name_Hall '-P 4 2'
loop_
_atom_site_label
_atom_site_fract_x
_atom_site_fract_y
_atom_site_fract_z
Sn1 0.0000 0.0000 0.0000
Pt1 0.5000 0.5000 0.5000
S1 0.5000 0.5000 0.0000
N1 0.0000 0.5000 0.5000
# crystal system: tetragonal


# SnPtSN2 (PBE, relaxed)
data_SnPtSN2
_chemical_formula_sum 'Sn1 Pt1 S1 N2'
_cell_length_a 4.0273
_cell_length_b 4.0273
_cell_length_c 5.3482
_cell_angle_alpha 90.00
_cell_angle_beta 90.00
_cell_angle_gamma 90.00
_space_group_name_H-M_alt 'P 4/m m m'
_space_group_IT_number 123
_space_group_name_Hall '-P 4 2'
loop_
_atom_site_label
_atom_site_fract_x
_atom_site_fract_y
_atom_site_fract_z
Sn1 0.0000 0.0000 0.0000
Pt1 0.5000 0.5000 0.5000
S1 0.0000 0.0000 0.5000
N1 0.0000 0.5000 0.0000
# crystal system: tetragonal


# Sr6Pt2SN (PBE, relaxed)
data_Sr6Pt2SN
_chemical_formula_sum 'Sr12 Pt4 S2 N2'
_cell_length_a 7.1619
_cell_length_b 7.8213
_cell_length_c 12.6595
_cell_angle_alpha 90.00
_cell_angle_beta 124.01
_cell_angle_gamma 90.00
_space_group_name_H-M_alt 'P 1 21/c 1'
_space_group_IT_number 14
_space_group_name_Hall '-P 2ybc'
loop_
_atom_site_label
_atom_site_fract_x
_atom_site_fract_y
_atom_site_fract_z
Sr1 0.1142 0.0417 0.2341
Sr2 0.2320 0.7041 0.0642
Sr3 0.3574 0.1728 0.0583
Pt1 0.2850 0.0880 0.7508
S1 0.5000 0.0000 0.5000
N1 0.0000 0.0000 0.0000
# crystal system: monoclinic


Number 1: formation energy (no corrections) 1.2127 eV/atom. Number 2: formation energy (no corrections) 1.0456 eV/atom. Number 3: formation energy (no corrections) 1.5867 eV/atom. Number 4: formation energy (no corrections) -0.8732 eV/atom.